Below is a relaxed structure of Y2SbAu2, with properties calculated at the GGA-PBE level.

The energy above the lowest structure with this stoichiometry is 0.188 eV/atom.

The space group is I4/mmm (No. 139) and the conventional cell measures 3.920, 3.920 and 16.468 Å, with angles of 90.00, 90.00 and 90.00 degrees. Symmetry generates all atoms from Y at (0.000, 0.000, 0.107), Sb at (0.000, 0.000, 0.500) and Au at (0.000, 0.500, 0.250).

***

Below is a relaxed structure of YSb4Au, with properties calculated at the GGA-PBE level.

The space group is F-43m (No. 216) and the conventional cell measures 8.711, 8.711 and 8.711 Å, with angles of 90.00, 90.00 and 90.00 degrees. Symmetry generates all atoms from Y at (0.000, 0.000, 0.000), Sb at (0.124, 0.124, 0.376) and Au at (0.250, 0.250, 0.750).

***

Formation energy (no corrections) across the listed records, respectively: -0.6683 0.0261 eV per atom.